Entry 1:
ZnCo3S: relaxed, PBE-GGA.

Geometry as extended XYZ:
```
5
Lattice="-1.694 2.014 -3.125 -3.346 -2.323 0.317 -1.620 2.691 2.613" Properties=species:S:1:pos:R:3 pbc="T T T"
Zn -3.330 1.191 -0.097
Co -1.673 -1.161 0.158
Co -0.810 1.345 1.307
Co -0.847 1.007 -1.562
S 0.000 0.000 0.000
```

Summary:
Total energy, eV for the cell shown: -25.84
Relative energy among the computed polymorphs, eV per formula unit: 0.00

Entry 2:
ZnIn2Cu: relaxed, PBE-GGA.

Geometry as extended XYZ:
```
4
Lattice="-2.895 -4.377 0.783 1.446 -2.551 4.422 -1.251 5.050 -1.041" Properties=species:S:1:pos:R:3 pbc="T T T"
Cu -2.436 -1.395 1.172
In 0.000 0.000 0.000
In -0.265 -0.483 2.992
Zn -0.725 -3.464 2.602
```

Summary:
Total energy, eV for the cell shown: -10.18
Formation energy from the elements, meV/atom: 165.6

Entry 3:
SmTlInPt: relaxed, PBE-GGA.

Geometry as extended XYZ:
```
4
Lattice="-0.667 3.147 -3.938 -2.219 -1.685 -4.254 -4.674 1.582 -1.228" Properties=species:S:1:pos:R:3 pbc="T T T"
Tl -1.890 0.761 -2.355
Sm 0.000 0.000 0.000
Pt -5.670 2.282 -7.065
In -3.780 1.521 -4.710
```

Summary:
Total energy, eV for the cell shown: -17.85
Formation energy from the elements, meV/atom: -497.0

Entry 4:
CsLaMn2Mo: relaxed, PBE-GGA.

Geometry as extended XYZ:
```
5
Lattice="-0.980 4.103 2.760 -4.195 -2.283 1.904 2.745 -1.889 3.782" Properties=species:S:1:pos:R:3 pbc="T T T"
Cs -1.215 -0.035 4.223
Mo -2.097 -1.141 0.952
Mn 1.373 -0.945 1.891
Mn -0.490 2.051 1.380
La 0.000 0.000 0.000
```

Summary:
Total energy, eV for the cell shown: -22.99
Formation energy from the elements, meV/atom: 2392.2